The following is a PBE calculation of a geometry-optimized SrBr structure, from the Alexandria database.

Properties
DOS at the Fermi energy = 6.234 states/eV/cell
Crystal system = cubic
Energy = -24.2 eV per cell
Space-group type = P2_13, No. 198
Formation energy from raw total energies = -130.06 kJ/mol of atoms
M_tot = 3.54 μB/cell

abc: 6.8259 6.8259 6.8259
angles: 90.00 90.00 90.00
Closest atoms and distances in Å follow each position.
Sites, in units of the cell vectors:
Sr 0.0619 0.0619 0.0619  4 Br 3.15-3.19
Sr 0.4381 0.9381 0.5619  4 Br 3.15-3.19
Sr 0.5619 0.4381 0.9381  4 Br 3.15-3.19
Sr 0.9381 0.5619 0.4381  4 Br 3.15-3.19
Br 0.1717 0.6717 0.8283  4 Sr 3.15-3.19
Br 0.3283 0.3283 0.3283  4 Sr 3.15-3.19
Br 0.6717 0.8283 0.1717  4 Sr 3.15-3.19
Br 0.8283 0.1717 0.6717  4 Sr 3.15-3.19